# 1
CaTl2CrO4 | GGA+U | optimized geometry

Results
space-group type = Fddd, No. 70
V = 379.6 Å³ per cell

abc: 5.9199 6.6719 11.1247
angles: 83.22 74.57 63.66
Sites, in units of the cell vectors:
O: 0.9185 0.6913 0.5717
O: 0.8315 0.8087 0.9283
O: 0.3902 0.6913 0.4283
O: 0.1815 0.3087 0.4283
O: 0.5685 0.1913 0.0717
O: 0.2402 0.1913 0.9283
O: 0.3598 0.8087 0.0717
O: 0.5098 0.3087 0.5717
Cr: 0.5000 0.0000 0.0000
Cr: 0.2500 0.5000 0.5000
Tl: 0.5495 0.5000 0.9011
Tl: 0.9505 0.5000 0.0989
Tl: 0.7995 0.0000 0.4011
Tl: 0.2005 0.0000 0.5989
Ca: 0.0000 0.0000 0.0000
Ca: 0.7500 0.5000 0.5000

=====

# 2
CaTlCr2O8 | GGA+U | optimized geometry

Results
space-group type = I-4m2, No. 119
V = 176.7 Å³ per cell

abc: 6.1501 6.1501 6.1501
angles: 105.81 105.81 117.07
Sites, in units of the cell vectors:
O: 0.4762 0.6569 0.8193
O: 0.9125 0.5884 0.6759
O: 0.3431 0.1624 0.8193
O: 0.4116 0.0875 0.3241
O: 0.9125 0.2367 0.3241
O: 0.7633 0.0875 0.6759
O: 0.8376 0.6569 0.1807
O: 0.3431 0.5238 0.1807
Cr: 0.5000 0.5000 0.0000
Cr: 0.7500 0.2500 0.5000
Ca: 0.2500 0.7500 0.5000
Tl: 0.0000 0.0000 0.0000

=====

Computed E, in the same sequence as the records: -5.57 -6.37 eV/atom.